# 1
Here is crystalline LaHfIr2Pt at its relaxed geometry from Alexandria. Energies are from PBEsol.

Cell lengths 4.7235, 4.7235, 5.0684 Å; angles 90.00, 90.00, 90.00 degrees
Closest atoms and distances in Å follow each position.
Space group P4/mmm (No. 123)
Symmetry-distinct sites (fractional):
La: 0.0000 0.0000 0.0000 [1 per cell]  4 Ir 2.36, 2 Hf 2.53
Hf: 0.0000 0.0000 0.5000 [1 per cell]  2 La 2.53
Ir: 0.0000 0.5000 0.0000 [2 per cell]  2 La 2.36
Pt: 0.5000 0.5000 0.5000 [1 per cell]  4 Hf 3.34, 8 Ir 3.46

Output
The calculation puts the formation energy at 2.003 eV per atom. The raw total energy is -6.49 eV per atom.



# 2
Here is crystalline LiHf2Ir at its relaxed geometry from Alexandria. Energies are from PBEsol.

Cell lengths 6.4636, 6.4636, 6.4636 Å; angles 90.00, 90.00, 90.00 degrees
Closest atoms and distances in Å follow each position.
Space group Fm-3m (No. 225)
Symmetry-distinct sites (fractional):
Li: 0.0000 0.0000 0.0000 [4 per cell]  8 Hf 2.80
Hf: 0.2500 0.2500 0.2500 [8 per cell]  4 Li 2.80, 4 Ir 2.80
Ir: 0.0000 0.0000 0.5000 [4 per cell]  8 Hf 2.80

Output
The calculation puts the formation energy at -0.519 eV per atom. The raw total energy is -8.72 eV per atom.



# 3
Here is crystalline Li2HfIr2 at its relaxed geometry from Alexandria. Energies are from PBEsol.

Cell lengths 3.2279, 3.2279, 14.1777 Å; angles 90.00, 90.00, 90.00 degrees
Closest atoms and distances in Å follow each position.
Space group I4/mmm (No. 139)
Symmetry-distinct sites (fractional):
Li: 0.0000 0.5000 0.2500 [4 per cell]  4 Li 2.28
Hf: 0.0000 0.0000 0.0000 [2 per cell]  8 Ir 2.72
Ir: 0.0000 0.0000 0.3952 [4 per cell]  4 Li 2.62, 4 Hf 2.72

Output
The calculation puts the formation energy at -0.257 eV per atom. The raw total energy is -7.07 eV per atom.



# 4
Here is crystalline Li2HfPIr at its relaxed geometry from Alexandria. Energies are from PBEsol.

Cell lengths 4.2963, 4.2963, 4.3950 Å; angles 90.00, 90.00, 90.00 degrees
Closest atoms and distances in Å follow each position.
Space group P4/mmm (No. 123)
Symmetry-distinct sites (fractional):
Li: 0.0000 0.5000 0.0000 [2 per cell]  2 Ir 2.15
Hf: 0.0000 0.0000 0.5000 [1 per cell]  4 P 3.04, 8 Li 3.07
P: 0.5000 0.5000 0.5000 [1 per cell]  2 Ir 2.20
Ir: 0.5000 0.5000 0.0000 [1 per cell]  4 Li 2.15, 2 P 2.20

Output
The calculation puts the formation energy at 0.227 eV per atom. The raw total energy is -5.78 eV per atom.



# 5
Here is crystalline Hf2MgIr2 at its relaxed geometry from Alexandria. Energies are from PBEsol.

Cell lengths 7.6824, 7.6824, 3.0965 Å; angles 90.00, 90.00, 90.00 degrees
Closest atoms and distances in Å follow each position.
Space group P4/mbm (No. 127)
Symmetry-distinct sites (fractional):
Hf: 0.1545 0.3455 0.0000 [4 per cell]  6 Ir 2.71-2.75
Mg: 0.0000 0.0000 0.5000 [2 per cell]  4 Ir 2.96, 2 Mg 3.10, 8 Hf 3.29
Ir: 0.1406 0.6406 0.5000 [4 per cell]  6 Hf 2.71-2.75, 2 Mg 2.96

Output
The calculation puts the formation energy at -0.713 eV per atom. The raw total energy is -9.19 eV per atom.



# 6
Here is crystalline HfMn2Ir at its relaxed geometry from Alexandria. Energies are from PBEsol.

Cell lengths 6.0768, 6.0768, 6.0768 Å; angles 90.00, 90.00, 90.00 degrees
Closest atoms and distances in Å follow each position.
Space group Fm-3m (No. 225)
Symmetry-distinct sites (fractional):
Hf: 0.0000 0.0000 0.0000 [4 per cell]  8 Mn 2.63
Mn: 0.2500 0.2500 0.2500 [8 per cell]  4 Hf 2.63, 4 Ir 2.63
Ir: 0.0000 0.0000 0.5000 [4 per cell]  8 Mn 2.63

Output
The calculation puts the formation energy at -0.103 eV per atom. The raw total energy is -10.06 eV per atom.



# 7
Here is crystalline HfMnIrPd2 at its relaxed geometry from Alexandria. Energies are from PBEsol.

Cell lengths 4.4863, 4.4863, 4.4093 Å; angles 90.00, 90.00, 90.00 degrees
Closest atoms and distances in Å follow each position.
Space group P4/mmm (No. 123)
Symmetry-distinct sites (fractional):
Hf: 0.0000 0.0000 0.0000 [1 per cell]  8 Pd 3.15, 4 Ir 3.17
Mn: 0.5000 0.5000 0.5000 [1 per cell]  2 Ir 2.20, 4 Pd 2.24
Ir: 0.5000 0.5000 0.0000 [1 per cell]  2 Mn 2.20
Pd: 0.0000 0.5000 0.5000 [2 per cell]  2 Mn 2.24

Output
The calculation puts the formation energy at 0.643 eV per atom. The raw total energy is -7.76 eV per atom.



# 8
Here is crystalline Hf2MoIr at its relaxed geometry from Alexandria. Energies are from PBEsol.

Cell lengths 6.4758, 6.4758, 6.4758 Å; angles 90.00, 90.00, 90.00 degrees
Closest atoms and distances in Å follow each position.
Space group Fm-3m (No. 225)
Symmetry-distinct sites (fractional):
Hf: 0.2500 0.2500 0.2500 [8 per cell]  4 Mo 2.80, 4 Ir 2.80
Mo: 0.0000 0.0000 0.0000 [4 per cell]  8 Hf 2.80
Ir: 0.0000 0.0000 0.5000 [4 per cell]  8 Hf 2.80

Output
The calculation puts the formation energy at -0.608 eV per atom. The raw total energy is -11.26 eV per atom.